Entry 1:
## MoIrAu2 (PBEsol)

Data for a relaxed MoIrAu2 crystal.

**DOS at the Fermi energy**: 0.73 states/eV/atom
**Energy relative to the elements**: 0.38 eV per atom
**Total magnetic moment**: 0.0 μB/f.u.

Cell: 5.5418 5.5418 2.7745 Å, 103.47 103.47 121.76°
Positions (direct):
Mo 0.0000 0.0000 0.0000
Ir 0.5000 0.5000 0.0000
Au 0.0000 0.5000 0.5000
Au 0.5000 0.0000 0.5000

Entry 2:
## SiSbOs2 (PBEsol)

Data for a relaxed SiSbOs2 crystal.

**Raw formation energy**: 0.274 eV per atom
**DOS at the Fermi energy**: 0.41 states/eV/atom
**Total magnetic moment**: 0.0 μB/f.u.

Cell: 4.3912 4.3912 4.3912 Å, 60.00 60.00 60.00°
Positions (direct):
Si 0.0000 0.0000 0.0000
Sb 0.5000 0.5000 0.5000
Os 0.2500 0.2500 0.2500
Os 0.7500 0.7500 0.7500

Entry 3:
## CoRe2Si (PBEsol)

Data for a relaxed CoRe2Si crystal.

**Raw formation energy**: 0.038 eV per atom
**DOS at the Fermi energy**: 0.71 states/eV/atom
**Total magnetic moment**: 1.2 μB/f.u.

Cell: 4.9344 4.9344 4.9344 Å, 145.87 127.99 63.69°
Positions (direct):
Co 0.0000 0.0000 0.0000
Re 0.2652 0.7652 0.5000
Re 0.7348 0.2348 0.5000
Si 0.5000 0.5000 0.0000

Entry 4:
## Ag2PHO4 (PBEsol)

Data for a relaxed Ag2PHO4 crystal.

**Total magnetic moment**: 0.0 μB/f.u.
**Uncorrected energy**: -5.81 eV/atom

Cell: 6.3798 6.3798 8.3233 Å, 90.00 90.00 120.00°
Positions (direct):
Ag 0.0559 0.5280 0.0000
Ag 0.4720 0.5280 0.3333
Ag 0.4720 0.9441 0.6667
Ag 0.5344 0.2672 0.0000
Ag 0.7328 0.2672 0.3333
Ag 0.7328 0.4656 0.6667
P 0.1625 0.3250 0.6667
P 0.1625 0.8375 0.3333
P 0.6750 0.8375 0.0000
H 0.0147 0.0294 0.1667
H 0.0147 0.9853 0.8333
H 0.9706 0.9853 0.5000
O 0.0736 0.4884 0.7441
O 0.0736 0.5853 0.2559
O 0.1958 0.0314 0.2070
O 0.1958 0.1645 0.7930
O 0.4148 0.4884 0.5892
O 0.4148 0.9264 0.4108
O 0.5116 0.5853 0.0774
O 0.5116 0.9264 0.9226
O 0.8355 0.0314 0.1263
O 0.8355 0.8042 0.8737
O 0.9686 0.1645 0.5403
O 0.9686 0.8042 0.4597

Entry 5:
## InTeAuI2 (PBEsol)

Data for a relaxed InTeAuI2 crystal.

**Raw formation energy**: 0.069 eV per atom
**DOS at the Fermi energy**: 0.72 states/eV/atom
**Total magnetic moment**: 0.0 μB/f.u.

Cell: 5.5582 5.5582 5.4303 Å, 90.00 90.00 90.00°
Positions (direct):
In 0.0000 0.0000 0.0000
Te 0.5000 0.5000 0.0000
Au 0.5000 0.5000 0.5000
I 0.0000 0.5000 0.5000
I 0.5000 0.0000 0.5000

Entry 6:
## CdMoN2F (PBEsol)

Data for a relaxed CdMoN2F crystal.

**Raw formation energy**: 1.420 eV per atom
**DOS at the Fermi energy**: 0.74 states/eV/atom
**Total magnetic moment**: 2.2 μB/f.u.

Cell: 4.1236 4.1236 4.0605 Å, 90.00 90.00 90.00°
Positions (direct):
Cd 0.0000 0.0000 0.0000
Mo 0.5000 0.5000 0.5000
N 0.0000 0.5000 0.0000
N 0.5000 0.0000 0.0000
F 0.0000 0.0000 0.5000

Entry 7:
## La2AgIr (PBEsol)

Data for a relaxed La2AgIr crystal.

**DOS at the Fermi energy**: 0.73 states/eV/atom
**Energy relative to the elements**: -0.43 eV per atom
**Total magnetic moment**: 0.0 μB/f.u.

Cell: 4.5446 5.7909 5.7909 Å, 40.65 90.00 90.00°
Positions (direct):
La 0.0000 0.0000 0.0000
La 0.5000 0.2783 0.2783
Ag 0.0000 0.7143 0.7143
Ir 0.5000 0.5439 0.5439

Entry 8:
## ZrCrNi3 (PBEsol)

Data for a relaxed ZrCrNi3 crystal.

**DOS at the Fermi energy**: 0.52 states/eV/atom
**Energy relative to the elements**: 1.33 eV per atom
**Total magnetic moment**: 4.1 μB/f.u.

Cell: 4.4532 4.4532 4.4532 Å, 90.00 90.00 90.00°
Positions (direct):
Zr 0.0000 0.0000 0.0000
Cr 0.5000 0.5000 0.5000
Ni 0.0000 0.0000 0.5000
Ni 0.0000 0.5000 0.0000
Ni 0.5000 0.0000 0.0000

Entry 9:
## Sr3Si (PBEsol)

Data for a relaxed Sr3Si crystal.

**Raw formation energy**: 0.079 eV per atom
**DOS at the Fermi energy**: 0.71 states/eV/atom
**Total magnetic moment**: 1.5 μB/f.u.

Cell: 6.4341 6.4341 6.4341 Å, 90.00 90.00 90.00°
Positions (direct):
Sr 0.0000 0.2500 0.5000
Sr 0.0000 0.7500 0.5000
Sr 0.2500 0.5000 0.0000
Sr 0.5000 0.0000 0.2500
Sr 0.5000 0.0000 0.7500
Sr 0.7500 0.5000 0.0000
Si 0.0000 0.0000 0.0000
Si 0.5000 0.5000 0.5000

Entry 10:
## Zr2PbBr (PBEsol)

Data for a relaxed Zr2PbBr crystal.

**Raw formation energy**: 0.005 eV per atom
**DOS at the Fermi energy**: 1.26 states/eV/atom
**Total magnetic moment**: 0.0 μB/f.u.

Cell: 5.8494 5.8494 5.8494 Å, 137.58 137.58 61.55°
Positions (direct):
Zr 0.0000 0.0000 0.0000
Zr 0.7500 0.2500 0.5000
Pb 0.5000 0.5000 0.0000
Br 0.2500 0.7500 0.5000

Entry 11:
## Mg2TiAg (PBEsol)

Data for a relaxed Mg2TiAg crystal.

**DOS at the Fermi energy**: 0.83 states/eV/atom
**Energy relative to the elements**: 0.15 eV per atom
**Total magnetic moment**: 0.9 μB/f.u.

Cell: 4.6679 4.6679 4.6679 Å, 60.00 60.00 60.00°
Positions (direct):
Mg 0.2500 0.2500 0.2500
Mg 0.7500 0.7500 0.7500
Ti 0.0000 0.0000 0.0000
Ag 0.5000 0.5000 0.5000

Entry 12:
## Cu2BrCl (PBEsol)

Data for a relaxed Cu2BrCl crystal.

**Raw formation energy**: -0.261 eV per atom
**Total magnetic moment**: 0.0 μB/f.u.

Cell: 4.1421 3.8388 4.9248 Å, 90.00 91.23 90.00°
Positions (direct):
Cu 0.0000 0.0000 0.0000
Cu 0.2403 0.5000 0.3282
Br 0.9057 0.5000 0.7043
Cl 0.4929 0.0000 0.2101

Entry 13:
## MnCrTc (PBEsol)

Data for a relaxed MnCrTc crystal.

**DOS at the Fermi energy**: 1.24 states/eV/atom
**Energy relative to the elements**: 0.24 eV per atom
**Total magnetic moment**: 0.0 μB/f.u.

Cell: 2.5930 2.5930 6.2110 Å, 90.00 90.00 120.00°
Positions (direct):
Mn 0.0000 0.0000 0.0000
Cr 0.6667 0.3333 0.3069
Tc 0.3333 0.6667 0.6615

Entry 14:
## AlGaBi2 (PBEsol)

Data for a relaxed AlGaBi2 crystal.

**DOS at the Fermi energy**: 0.05 states/eV/atom
**Energy relative to the elements**: 0.09 eV per atom
**Total magnetic moment**: 0.0 μB/f.u.

Cell: 7.7821 7.7821 7.7821 Å, 131.81 131.81 70.52°
Positions (direct):
Al 0.0000 0.0000 0.0000
Al 0.7500 0.2500 0.5000
Ga 0.2500 0.7500 0.5000
Ga 0.5000 0.5000 0.0000
Bi 0.1274 0.6250 0.0024
Bi 0.3750 0.3774 0.5024
Bi 0.6226 0.1250 0.9976
Bi 0.8750 0.8726 0.4976

Entry 15:
## TeW2Cl (PBEsol)

Data for a relaxed TeW2Cl crystal.

**Raw formation energy**: 0.081 eV per atom
**DOS at the Fermi energy**: 0.61 states/eV/atom
**Total magnetic moment**: 0.0 μB/f.u.

Cell: 3.1131 8.3088 8.3088 Å, 22.62 90.00 90.00°
Positions (direct):
Te 0.0000 0.0000 0.0000
W 0.0000 0.8036 0.8036
W 0.5000 0.3935 0.3935
Cl 0.5000 0.6887 0.6887

Entry 16:
## Na2SiW (PBEsol)

Data for a relaxed Na2SiW crystal.

**Raw formation energy**: 1.253 eV per atom
**DOS at the Fermi energy**: 0.74 states/eV/atom
**Total magnetic moment**: 1.6 μB/f.u.

Cell: 6.2518 6.2518 6.2518 Å, 99.09 99.09 133.16°
Positions (direct):
Na 0.0979 0.6250 0.9729
Na 0.3750 0.3479 0.4729
Na 0.6521 0.1250 0.0271
Na 0.8750 0.9021 0.5271
Si 0.0000 0.0000 0.0000
Si 0.7500 0.2500 0.5000
W 0.2500 0.7500 0.5000
W 0.5000 0.5000 0.0000

Entry 17:
## Sr2TeCl (PBEsol)

Data for a relaxed Sr2TeCl crystal.

**Raw formation energy**: -1.684 eV per atom
**DOS at the Fermi energy**: 0.58 states/eV/atom
**Total magnetic moment**: 0.0 μB/f.u.

Cell: 7.5374 7.5374 7.5374 Å, 35.00 35.00 35.00°
Positions (direct):
Sr 0.2456 0.2456 0.2456
Sr 0.7544 0.7544 0.7544
Te 0.0000 0.0000 0.0000
Cl 0.5000 0.5000 0.5000

Entry 18:
## Sr2RhCl (PBEsol)

Data for a relaxed Sr2RhCl crystal.

**Raw formation energy**: -0.949 eV per atom
**DOS at the Fermi energy**: 0.16 states/eV/atom
**Total magnetic moment**: 0.0 μB/f.u.

Cell: 3.5499 3.5499 7.7648 Å, 90.00 90.00 90.00°
Positions (direct):
Sr 0.0000 0.0000 0.2256
Sr 0.0000 0.0000 0.7744
Rh 0.5000 0.5000 0.0000
Cl 0.5000 0.5000 0.5000

Entry 19:
## Al2PbAu (PBEsol)

Data for a relaxed Al2PbAu crystal.

**DOS at the Fermi energy**: 0.42 states/eV/atom
**Energy relative to the elements**: -0.09 eV per atom
**Total magnetic moment**: 0.0 μB/f.u.

Cell: 6.0502 6.0502 6.0502 Å, 41.08 41.08 41.08°
Positions (direct):
Al 0.2148 0.2148 0.2148
Al 0.7852 0.7852 0.7852
Pb 0.0000 0.0000 0.0000
Au 0.5000 0.5000 0.5000

Entry 20:
## NiC2F (PBEsol)

Data for a relaxed NiC2F crystal.

**Raw formation energy**: 1.419 eV per atom
**DOS at the Fermi energy**: 0.39 states/eV/atom
**Total magnetic moment**: 0.0 μB/f.u.

Cell: 5.6292 5.6292 5.6292 Å, 134.35 134.35 66.55°
Positions (direct):
Ni 0.0000 0.0000 0.0000
Ni 0.7500 0.2500 0.5000
C 0.0433 0.6250 0.9183
C 0.3750 0.2933 0.4183
C 0.7067 0.1250 0.0817
C 0.8750 0.9567 0.5817
F 0.2500 0.7500 0.5000
F 0.5000 0.5000 0.0000